GGA-PBE Li4NdAs2, relaxed; DFT formation energy = -0.826 eV/atom; density of states at the Fermi level = 7.70 states/eV/cell; VASP energy = -3.930 eV/atom
1.0
4.194 0.000 0.000
0.000 7.793 0.000
0.000 0.000 7.793
Li Nd As
8 2 4
direct
0.500 0.166 0.596 Li
0.500 0.596 0.166 Li
0.000 0.334 0.096 Li
0.000 0.904 0.666 Li
0.500 0.834 0.404 Li
0.000 0.666 0.904 Li
0.000 0.096 0.334 Li
0.500 0.404 0.834 Li
0.000 0.500 0.500 Nd
0.500 0.000 0.000 Nd
0.500 0.713 0.713 As
0.000 0.787 0.213 As
0.000 0.213 0.787 As
0.500 0.287 0.287 As